A relaxed TcRu3 crystal, computed with PBE.

a b c (Å): 8.9986 2.7113 4.6972
angles (deg): 90.00 100.12 90.00
Space group C2/m (No. 12)
One atom of each set of equivalent atoms:
Tc  0.0000  0.0000  0.0000 (multiplicity 2)
Ru  0.0000  0.5000  0.5000 (multiplicity 2)
Ru  0.2500  0.0000  0.7509 (multiplicity 4)

calculated density: 11.81 g/cm3
DFT formation energy: 0.0801 eV/atom
DOS at the Fermi energy: 4.48 states/eV/f.u.